1.
# Cs2TeH6Cl2O6 GGA-PBEsol optimized geometry
data_Cs2TeH6Cl2O6
_chemical_formula_sum 'Cs4 Te2 H12 Cl4 O12'
_cell_length_a 6.273
_cell_length_b 11.005
_cell_length_c 7.779
_cell_angle_alpha 90.00
_cell_angle_beta 107.93
_cell_angle_gamma 90.00
_space_group_name_H-M_alt 'P 1 21/c 1'
_space_group_IT_number 14
loop_
_space_group_symop_operation_xyz
'x,y,z'
'-x,-y,-z'
'-x,y+1/2,-z+1/2'
'x,-y+1/2,z+1/2'
loop_
_atom_site_label
_atom_site_type_symbol
_atom_site_fract_x
_atom_site_fract_y
_atom_site_fract_z
Cs1 Cs 0.241 0.129 0.057
Te1 Te 0.000 0.000 0.500
H1 H 0.160 0.646 0.828
H2 H 0.226 0.656 0.204
H3 H 0.386 0.083 0.577
Cl1 Cl 0.380 0.671 0.695
O1 O 0.018 0.644 0.863
O2 O 0.177 0.573 0.227
O3 O 0.265 0.070 0.459
# E, eV for the cell shown: -163.7

2.
# ZnTc GGA-PBEsol optimized geometry
data_ZnTc
_chemical_formula_sum 'Zn2 Tc2'
_cell_length_a 2.908
_cell_length_b 2.908
_cell_length_c 6.580
_cell_angle_alpha 90.00
_cell_angle_beta 90.00
_cell_angle_gamma 90.00
_space_group_name_H-M_alt 'P 4/n m m'
_space_group_IT_number 129
loop_
_space_group_symop_operation_xyz
'x,y,z'
'-x,-y,-z'
'-y+1/2,x,z'
'y+1/2,-x,-z'
'-x+1/2,-y+1/2,z'
'x+1/2,y+1/2,-z'
'y,-x+1/2,z'
'-y,x+1/2,-z'
'x+1/2,-y,-z'
'-x+1/2,y,z'
'-y,-x,-z'
'y,x,z'
'-x,y+1/2,-z'
'x,-y+1/2,z'
'y+1/2,x+1/2,-z'
'-y+1/2,-x+1/2,z'
loop_
_atom_site_label
_atom_site_type_symbol
_atom_site_fract_x
_atom_site_fract_y
_atom_site_fract_z
Zn1 Zn 0.250 0.250 0.123
Tc1 Tc 0.250 0.250 0.610
# Formation energy, eV/atom: -0.03
# Distance to the lowest polymorph of the same formula, eV/f.u.: 0.03
# E, eV for the cell shown: -25.8

3.
# Ca2ZrBr GGA-PBEsol optimized geometry
data_Ca2ZrBr
_chemical_formula_sum 'Ca4 Zr2 Br2'
_cell_length_a 3.364
_cell_length_b 5.737
_cell_length_c 11.461
_cell_angle_alpha 90.00
_cell_angle_beta 90.00
_cell_angle_gamma 90.00
_space_group_name_H-M_alt 'I m m 2'
_space_group_IT_number 44
loop_
_space_group_symop_operation_xyz
'x,y,z'
'-x,-y,z'
'-x,y,z'
'x,-y,z'
'x+1/2,y+1/2,z+1/2'
'-x+1/2,-y+1/2,z+1/2'
'-x+1/2,y+1/2,z+1/2'
'x+1/2,-y+1/2,z+1/2'
loop_
_atom_site_label
_atom_site_type_symbol
_atom_site_fract_x
_atom_site_fract_y
_atom_site_fract_z
Ca1 Ca 0.000 0.000 0.000
Ca2 Ca 0.000 0.500 0.197
Zr1 Zr 0.000 0.500 0.774
Br1 Br 0.000 0.000 0.471
# Distance to the lowest polymorph of the same formula, eV/f.u.: 0.00
# E, eV for the cell shown: -32.2

4.
# Tc4PIr GGA-PBEsol optimized geometry
data_Tc4PIr
_chemical_formula_sum 'Tc16 P4 Ir4'
_cell_length_a 7.071
_cell_length_b 7.071
_cell_length_c 7.071
_cell_angle_alpha 90.00
_cell_angle_beta 90.00
_cell_angle_gamma 90.00
_space_group_name_H-M_alt 'F -4 3 m'
_space_group_IT_number 216
_space_group_name_Hall 'F -4 2 3'
loop_
_atom_site_label
_atom_site_type_symbol
_atom_site_fract_x
_atom_site_fract_y
_atom_site_fract_z
Tc1 Tc 0.124 0.124 0.124
P1 P 0.000 0.000 0.500
Ir1 Ir 0.250 0.250 0.750
# Formation energy, eV/atom: 0.68
# E, eV for the cell shown: -226.4

5.
# SrMo2W GGA-PBEsol optimized geometry
data_SrMo2W
_chemical_formula_sum 'Sr2 Mo4 W2'
_cell_length_a 5.564
_cell_length_b 9.835
_cell_length_c 2.647
_cell_angle_alpha 90.00
_cell_angle_beta 90.00
_cell_angle_gamma 90.00
_space_group_name_H-M_alt 'C m m m'
_space_group_IT_number 65
_space_group_name_Hall '-C 2 2'
loop_
_atom_site_label
_atom_site_type_symbol
_atom_site_fract_x
_atom_site_fract_y
_atom_site_fract_z
Sr1 Sr 0.000 0.000 0.000
Mo1 Mo 0.250 0.250 0.500
W1 W 0.000 0.500 0.000
# Formation energy, eV/atom: 1.22
# Distance to the lowest polymorph of the same formula, eV/f.u.: 1.63
# E, eV for the cell shown: -68.6

6.
# Mg2ScPd2 GGA-PBEsol optimized geometry
data_Mg2ScPd2
_chemical_formula_sum 'Mg4 Sc2 Pd4'
_cell_length_a 6.984
_cell_length_b 6.984
_cell_length_c 3.711
_cell_angle_alpha 90.00
_cell_angle_beta 90.00
_cell_angle_gamma 90.00
_space_group_name_H-M_alt 'P 4/m b m'
_space_group_IT_number 127
_space_group_name_Hall '-P 4 2ab'
loop_
_atom_site_label
_atom_site_type_symbol
_atom_site_fract_x
_atom_site_fract_y
_atom_site_fract_z
Mg1 Mg 0.156 0.344 0.000
Sc1 Sc 0.000 0.000 0.500
Pd1 Pd 0.140 0.640 0.500
# Formation energy, eV/atom: -0.58
# E, eV for the cell shown: -49.7

7.
# MoAs GGA-PBEsol optimized geometry
data_MoAs
_chemical_formula_sum 'Mo4 As4'
_cell_length_a 5.968
_cell_length_b 3.328
_cell_length_c 6.384
_cell_angle_alpha 90.00
_cell_angle_beta 90.00
_cell_angle_gamma 90.00
_space_group_name_H-M_alt 'P n m a'
_space_group_IT_number 62
loop_
_space_group_symop_operation_xyz
'x,y,z'
'-x,-y,-z'
'-x+1/2,-y,z+1/2'
'x+1/2,y,-z+1/2'
'x+1/2,-y+1/2,-z+1/2'
'-x+1/2,y+1/2,z+1/2'
'-x,y+1/2,-z'
'x,-y+1/2,z'
loop_
_atom_site_label
_atom_site_type_symbol
_atom_site_fract_x
_atom_site_fract_y
_atom_site_fract_z
Mo1 Mo 0.013 0.250 0.184
As1 As 0.186 0.250 0.567
# Formation energy, eV/atom: -0.28
# E, eV for the cell shown: -69.8

8.
# Ag2OsPt GGA-PBEsol optimized geometry
data_Ag2OsPt
_chemical_formula_sum 'Ag6 Os3 Pt3'
_cell_length_a 2.7381
_cell_length_b 2.7381
_cell_length_c 28.2264
_cell_angle_alpha 90.00
_cell_angle_beta 90.00
_cell_angle_gamma 120.00
_space_group_name_H-M_alt 'R -3 m'
_space_group_IT_number 166
_space_group_name_Hall '-R 3 2"'
loop_
_atom_site_label
_atom_site_type_symbol
_atom_site_fract_x
_atom_site_fract_y
_atom_site_fract_z
Ag1 Ag 0.0000 0.0000 0.2503
Os1 Os 0.0000 0.0000 0.0000
Pt1 Pt 0.0000 0.0000 0.5000
# Formation energy, eV/atom: 0.34
# Distance to the lowest polymorph of the same formula, eV/f.u.: 0.36
# E, eV for the cell shown: -73.3

9.
# LiSn2I GGA-PBEsol optimized geometry
data_LiSn2I
_chemical_formula_sum 'Li4 Sn8 I4'
_cell_length_a 4.161
_cell_length_b 4.161
_cell_length_c 26.661
_cell_angle_alpha 90.00
_cell_angle_beta 90.00
_cell_angle_gamma 90.00
_space_group_name_H-M_alt 'I -4 2 d'
_space_group_IT_number 122
_space_group_name_Hall 'I -4 2bw'
loop_
_atom_site_label
_atom_site_type_symbol
_atom_site_fract_x
_atom_site_fract_y
_atom_site_fract_z
Li1 Li 0.000 0.000 0.000
Sn1 Sn 0.243 0.250 0.125
I1 I 0.000 0.000 0.500
# E, eV for the cell shown: -53.1

10.
# La2CdSi GGA-PBEsol optimized geometry
data_La2CdSi
_chemical_formula_sum 'La2 Cd1 Si1'
_cell_length_a 5.122
_cell_length_b 5.122
_cell_length_c 3.997
_cell_angle_alpha 90.00
_cell_angle_beta 90.00
_cell_angle_gamma 90.00
_space_group_name_H-M_alt 'P 4/m m m'
_space_group_IT_number 123
_space_group_name_Hall '-P 4 2'
loop_
_atom_site_label
_atom_site_type_symbol
_atom_site_fract_x
_atom_site_fract_y
_atom_site_fract_z
La1 La 0.000 0.500 0.000
Cd1 Cd 0.000 0.000 0.500
Si1 Si 0.500 0.500 0.500
# E, eV for the cell shown: -19.4

11.
# La2TaNi GGA-PBEsol optimized geometry
data_La2TaNi
_chemical_formula_sum 'La4 Ta2 Ni2'
_cell_length_a 3.359
_cell_length_b 5.073
_cell_length_c 10.932
_cell_angle_alpha 90.00
_cell_angle_beta 90.00
_cell_angle_gamma 90.00
_space_group_name_H-M_alt 'I m m 2'
_space_group_IT_number 44
loop_
_space_group_symop_operation_xyz
'x,y,z'
'-x,-y,z'
'-x,y,z'
'x,-y,z'
'x+1/2,y+1/2,z+1/2'
'-x+1/2,-y+1/2,z+1/2'
'-x+1/2,y+1/2,z+1/2'
'x+1/2,-y+1/2,z+1/2'
loop_
_atom_site_label
_atom_site_type_symbol
_atom_site_fract_x
_atom_site_fract_y
_atom_site_fract_z
La1 La 0.000 0.000 0.000
La2 La 0.000 0.500 0.201
Ta1 Ta 0.000 0.000 0.413
Ni1 Ni 0.000 0.500 0.758
# Formation energy, eV/atom: 0.15
# Distance to the lowest polymorph of the same formula, eV/f.u.: 0.00
# E, eV for the cell shown: -57.6

12.
# RhO2F6 GGA-PBEsol optimized geometry
data_RhO2F6
_chemical_formula_sum 'Rh1 O2 F6'
_cell_length_a 5.109
_cell_length_b 5.206
_cell_length_c 5.242
_cell_angle_alpha 91.81
_cell_angle_beta 102.24
_cell_angle_gamma 100.17
_space_group_name_H-M_alt 'P -1'
_space_group_IT_number 2
loop_
_space_group_symop_operation_xyz
'x,y,z'
'-x,-y,-z'
loop_
_atom_site_label
_atom_site_type_symbol
_atom_site_fract_x
_atom_site_fract_y
_atom_site_fract_z
Rh1 Rh 0.000 0.000 0.000
O1 O 0.419 0.550 0.540
F1 F 0.061 0.833 0.708
F2 F 0.192 0.313 0.924
F3 F 0.319 0.926 0.199
# E, eV for the cell shown: -39.3